[1]
# PBE BeTeAs4, relaxed
data_BeTeAs4
_cell_length_a 7.9525
_cell_length_b 7.9525
_cell_length_c 7.9525
_cell_angle_alpha 90.00
_cell_angle_beta 90.00
_cell_angle_gamma 90.00
_space_group_name_H-M_alt 'F -4 3 m'
_space_group_IT_number 216
_space_group_name_Hall 'F -4 2 3'
loop_
_atom_site_label
_atom_site_type_symbol
_atom_site_fract_x
_atom_site_fract_y
_atom_site_fract_z
Be1 Be 0.0000 0.0000 0.0000
Te1 Te 0.2500 0.2500 0.7500
As1 As 0.1286 0.1286 0.3714
# Calculated density   5.762 g/cm3
# Crystal system   cubic
# Magnetization   0.000 μB per formula unit
# Volume   20.96 Å³ per atom
# Uncorrected formation energy   0.750 eV per atom
# N(E_F)   0.353 states/eV per atom


[2]
# PBE Be2TeAs, relaxed
data_Be2TeAs
_cell_length_a 6.3984
_cell_length_b 6.3984
_cell_length_c 6.3984
_cell_angle_alpha 90.00
_cell_angle_beta 90.00
_cell_angle_gamma 90.00
_space_group_name_H-M_alt 'F m -3 m'
_space_group_IT_number 225
_space_group_name_Hall '-F 4 2 3'
loop_
_atom_site_label
_atom_site_type_symbol
_atom_site_fract_x
_atom_site_fract_y
_atom_site_fract_z
Be1 Be 0.2500 0.2500 0.2500
Te1 Te 0.0000 0.0000 0.0000
As1 As 0.0000 0.0000 0.5000
# Calculated density   5.592 g/cm3
# Crystal system   cubic
# Magnetization   0.000 μB per formula unit
# Volume   16.37 Å³ per atom
# Uncorrected formation energy   0.714 eV per atom
# E above lowest polymorph   807.2 meV/atom
# N(E_F)   0.439 states/eV per atom


[3]
# PBE Be2TeAs, relaxed
data_Be2TeAs
_cell_length_a 4.3308
_cell_length_b 3.5026
_cell_length_c 4.8888
_cell_angle_alpha 90.00
_cell_angle_beta 99.23
_cell_angle_gamma 90.00
_space_group_name_H-M_alt 'P 1 2/m 1'
_space_group_IT_number 10
_space_group_name_Hall '-P 2y'
loop_
_atom_site_label
_atom_site_type_symbol
_atom_site_fract_x
_atom_site_fract_y
_atom_site_fract_z
Be1 Be 0.1226 0.0000 0.2281
Te1 Te 0.5000 0.5000 0.0000
As1 As 0.0000 0.5000 0.5000
# Calculated density   5.003 g/cm3
# Crystal system   monoclinic
# Magnetization   0.000 μB per formula unit
# Volume   18.30 Å³ per atom
# Uncorrected formation energy   0.409 eV per atom
# E above lowest polymorph   501.7 meV/atom
# N(E_F)   0.374 states/eV per atom


[4]
# PBE Be2TeAs, relaxed
data_Be2TeAs
_cell_length_a 3.3708
_cell_length_b 3.3708
_cell_length_c 7.1079
_cell_angle_alpha 90.00
_cell_angle_beta 90.00
_cell_angle_gamma 90.00
_space_group_name_H-M_alt 'P 4 m m'
_space_group_IT_number 99
_space_group_name_Hall 'P 4 -2'
loop_
_atom_site_label
_atom_site_type_symbol
_atom_site_fract_x
_atom_site_fract_y
_atom_site_fract_z
Be1 Be 0.0000 0.0000 0.0000
Be2 Be 0.5000 0.5000 0.1930
Te1 Te 0.0000 0.0000 0.3487
As1 As 0.5000 0.5000 0.8789
# Calculated density   4.535 g/cm3
# Crystal system   tetragonal
# Magnetization   0.000 μB per formula unit
# Volume   20.19 Å³ per atom
# Uncorrected formation energy   0.181 eV per atom
# E above lowest polymorph   273.7 meV/atom
# N(E_F)   0.162 states/eV per atom


[5]
# PBE Be2TeAs, relaxed
data_Be2TeAs
_cell_length_a 3.9175
_cell_length_b 6.1103
_cell_length_c 7.5204
_cell_angle_alpha 90.00
_cell_angle_beta 90.00
_cell_angle_gamma 90.00
_space_group_name_H-M_alt 'C m m 2'
_space_group_IT_number 35
_space_group_name_Hall 'C 2 -2'
loop_
_atom_site_label
_atom_site_type_symbol
_atom_site_fract_x
_atom_site_fract_y
_atom_site_fract_z
Be1 Be 0.0000 0.0000 0.0000
Be2 Be 0.0000 0.5000 0.1567
Te1 Te 0.0000 0.5000 0.8173
As1 As 0.0000 0.0000 0.2974
# Calculated density   4.069 g/cm3
# Crystal system   orthorhombic
# Magnetization   0.000 μB per formula unit
# Volume   22.50 Å³ per atom
# Uncorrected formation energy   0.140 eV per atom
# E above lowest polymorph   233.2 meV/atom
# N(E_F)   0.352 states/eV per atom


[6]
# PBE BeTe3As, relaxed
data_BeTe3As
_cell_length_a 5.4052
_cell_length_b 5.4052
_cell_length_c 5.4052
_cell_angle_alpha 90.00
_cell_angle_beta 90.00
_cell_angle_gamma 90.00
_space_group_name_H-M_alt 'P m -3 m'
_space_group_IT_number 221
_space_group_name_Hall '-P 4 2 3'
loop_
_atom_site_label
_atom_site_type_symbol
_atom_site_fract_x
_atom_site_fract_y
_atom_site_fract_z
Be1 Be 0.0000 0.0000 0.0000
Te1 Te 0.0000 0.5000 0.5000
As1 As 0.5000 0.5000 0.5000
# Calculated density   4.908 g/cm3
# Crystal system   cubic
# Magnetization   0.000 μB per formula unit
# Volume   31.58 Å³ per atom
# Uncorrected formation energy   0.969 eV per atom
# E above lowest polymorph   463.3 meV/atom
# N(E_F)   1.449 states/eV per atom


- What is the N(E_F) in the second record?
  0.439 states/eV per atom